Compound: YTmZr2
Source: the Alexandria database
Functional: PBE-GGA
Structure: optimized geometry

energy relative to the lowest polymorph listed for this composition	41	meV per atom
calculated total energy	-27.6	eV per cell
E_form	0.5	eV per formula unit
space group	R-3m

Geometry as extended XYZ:
```
4
Lattice="-1.3493 -2.4251 -1.8396 -0.9245 -2.8591 1.4341 -10.7543 2.3980 1.7135" Properties=species:S:1:pos:R:3 pbc="T T T"
Zr -9.7464 -2.1749 0.9764
Zr -3.2816 -0.7113 0.3315
Tm -6.5140 -1.4431 0.6539
Y 0.0000 0.0000 0.0000
```

---

Compound: SrCuI3
Source: the Alexandria database
Functional: PBE-GGA
Structure: optimized geometry

energy relative to the lowest polymorph listed for this composition	5	meV per atom
calculated total energy	-62.2	eV per cell
formation energy (no corrections)	-1.024	eV per atom
space group	P2_1/c

Geometry as extended XYZ:
```
20
Lattice="-0.8451 -5.3297 4.4448 5.6668 -5.5042 -5.5224 9.8895 3.5795 6.5804" Properties=species:S:1:pos:R:3 pbc="T T T"
Sr 8.7911 -5.0282 1.3505
Sr 14.1150 -0.5314 2.4607
Sr 5.9200 -2.2262 4.1523
Sr 0.5962 -6.7230 3.0422
Cu 3.6113 0.7298 2.9757
Cu 10.9651 -2.8956 5.7288
Cu 3.7461 -4.3587 -0.2260
Cu 11.0999 -7.9842 2.5272
I 10.1429 -5.0077 6.9927
I 1.2131 -4.2507 0.6274
I 4.5682 -2.2467 -1.4899
I 2.7908 -1.3839 4.2379
I 11.9203 -5.8705 1.2649
I 5.2986 -4.7017 6.5656
I 5.6023 -4.4004 1.7270
I 8.1389 2.8036 5.5534
I 13.4981 -3.0037 4.8754
I 6.5722 -10.0580 -0.0505
I 9.4126 -2.5527 -1.0627
I 9.1089 -2.8540 3.7758
```

---

Compound: Si3IrI
Source: the Alexandria database
Functional: PBE-GGA
Structure: optimized geometry

energy relative to the lowest polymorph listed for this composition	0	meV per atom
calculated total energy	-25.2	eV per cell
formation energy (no corrections)	0.305	eV per atom
space group	Pm-3m

Geometry as extended XYZ:
```
5
Lattice="-2.5543 4.0034 0.0271 -0.7208 -0.4283 -4.6743 -3.9381 -2.5182 0.8379" Properties=species:S:1:pos:R:3 pbc="T T T"
Si -1.9690 -1.2591 0.4190
Si -0.3604 -0.2141 -2.3372
Si -1.2771 2.0017 0.0135
Ir 0.0000 0.0000 0.0000
I -3.6066 0.5285 -1.9047
```

---

Compound: NaSiB
Source: the Alexandria database
Functional: PBE-GGA
Structure: optimized geometry

calculated total energy	-25.6	eV per cell
formation energy (no corrections)	0.206	eV per atom
space group	Pm

Geometry as extended XYZ:
```
6
Lattice="6.2845 0.0000 0.0039 0.0000 5.0843 0.0000 0.8053 0.0000 3.1122" Properties=species:S:1:pos:R:3 pbc="T T T"
Si 4.3195 2.5422 1.5851
Si 6.7567 0.0000 2.6164
Na 2.7884 0.0000 0.3200
Na 1.0171 2.5422 0.8257
B 5.2290 0.7995 1.3515
B 5.2290 4.2848 1.3515
```

---

Compound: BaMgTe4
Source: the Alexandria database
Functional: PBE-GGA
Structure: optimized geometry

calculated total energy	-17.8	eV per cell
formation energy (no corrections)	-0.286	eV per atom
space group	F-43m

Geometry as extended XYZ:
```
6
Lattice="-3.3732 -4.5469 3.3474 -5.2325 1.7578 3.5762 -6.0430 -1.7113 -1.9526" Properties=species:S:1:pos:R:3 pbc="T T T"
Te -8.5232 -2.5454 0.8765
Te -7.1789 -3.9733 3.5453
Te -8.1151 -0.7985 3.6605
Te -5.4803 -1.6837 1.8597
Ba -10.9866 -3.3753 3.7283
Mg 0.0000 0.0000 0.0000
```

---

Compound: TbPrY2Tm2
Source: the Alexandria database
Functional: PBE-GGA
Structure: optimized geometry

calculated total energy	-59.3	eV per cell
E_form	1.6	eV per formula unit
space group	Pnnm

Geometry as extended XYZ:
```
12
Lattice="3.4137 0.0000 0.0000 0.0000 6.4995 0.0000 0.0000 0.0000 17.9090" Properties=species:S:1:pos:R:3 pbc="T T T"
Y 0.0000 5.0842 3.3829
Y 1.7068 1.8344 5.5715
Y 0.0000 1.4153 14.5260
Y 1.7068 4.6651 12.3374
Tm 1.7068 5.0983 6.3236
Tm 1.7068 1.4013 11.5854
Tm 0.0000 1.8485 2.6309
Tm 0.0000 4.6510 15.2780
Pr 0.0000 0.0000 0.0000
Pr 1.7068 3.2498 8.9545
Tb 0.0000 0.0000 8.9545
Tb 1.7068 3.2498 0.0000
```

---

Compound: NaTeOsO5
Source: the Alexandria database
Functional: PBE-GGA
Structure: optimized geometry

calculated total energy	-98.2	eV per cell
formation energy (no corrections)	-1.080	eV per atom
space group	C2/c

Geometry as extended XYZ:
```
16
Lattice="5.9413 0.2206 -0.1985 -1.5233 5.7469 -0.1985 -2.0671 -2.7922 6.8549" Properties=species:S:1:pos:R:3 pbc="T T T"
O 5.3348 -0.4110 1.5152
O -0.2600 0.2142 4.3034
O 1.3143 1.2100 0.8760
O 4.5039 1.5756 -0.0807
O -2.1530 1.5998 6.5385
O 1.0365 1.9654 5.5819
O -2.9840 3.5864 4.9427
O 2.6108 2.9612 2.1544
O -0.8413 3.3716 3.3468
O 3.1922 -0.1962 3.1111
Te 3.1783 1.1855 1.5152
Te -0.8275 1.9899 4.9427
Os -1.0336 -1.3961 3.4275
Os 0.0000 0.0000 0.0000
Na 0.4110 3.2343 1.5152
Na 1.9399 -0.0589 4.9427
```

---

Compound: CaSb4O8
Source: the Alexandria database
Functional: PBE-GGA
Structure: optimized geometry

energy relative to the lowest polymorph listed for this composition	245	meV per atom
calculated total energy	-74.3	eV per cell
formation energy (no corrections)	-1.240	eV per atom
space group	R-3m

Geometry as extended XYZ:
```
13
Lattice="-4.3713 3.8874 3.6268 -5.3959 -2.8887 3.1486 -0.1532 -0.4614 6.8657" Properties=species:S:1:pos:R:3 pbc="T T T"
O -4.9526 -1.2100 4.8252
O -2.7315 0.1480 3.7560
O -4.4764 1.9390 5.0475
O -5.4439 -1.4017 8.5936
O -7.1889 0.3894 9.8851
O -2.5162 -0.0820 6.5526
O -7.4042 0.6193 7.0884
O -4.9678 1.7474 8.8158
Sb -2.7745 -1.6750 5.0071
Sb -2.2622 1.7130 5.2462
Sb 0.0000 0.0000 0.0000
Sb -4.8836 0.4994 3.3877
Ca -4.9602 0.2687 6.8205
```

---

Compound: NaIr2Cl8
Source: the Alexandria database
Functional: PBE-GGA
Structure: optimized geometry

energy relative to the lowest polymorph listed for this composition	0	meV per atom
calculated total energy	-39.5	eV per cell
formation energy (no corrections)	-0.517	eV per atom
space group	P-1

Geometry as extended XYZ:
```
11
Lattice="4.8210 0.7535 -0.0884 1.2262 7.4631 -3.4742 -0.0077 0.5584 8.3193" Properties=species:S:1:pos:R:3 pbc="T T T"
Cl 3.9315 6.5215 1.1112
Cl 2.1081 2.2534 3.6454
Cl 1.6186 5.4172 3.9729
Cl 3.8064 6.9489 -2.1189
Cl 1.7285 4.5821 -0.9870
Cl 2.2332 1.8259 6.8756
Cl 4.3110 4.1929 5.7435
Cl 4.4210 3.3579 0.7835
Ir 1.9224 3.6319 5.4155
Ir 4.1171 5.1432 -0.6588
Na 4.8133 1.3120 8.2307
```

---

Compound: Mn2BPt4
Source: the Alexandria database
Functional: PBE-GGA
Structure: optimized geometry

calculated total energy	-48.9	eV per cell
E_form	0.2	eV per formula unit
space group	I4/mmm

Geometry as extended XYZ:
```
7
Lattice="-1.9886 -1.6675 -3.1528 3.1901 0.7826 -2.4261 3.2586 -6.5159 -1.2537" Properties=species:S:1:pos:R:3 pbc="T T T"
Mn 3.0397 -5.0855 -4.5167
Mn 1.4203 -2.3153 -2.3158
B 0.0000 0.0000 0.0000
Pt 2.4150 -4.5882 -1.7411
Pt 2.0451 -2.8126 -5.0914
Pt 1.5951 0.3913 -1.2130
Pt -0.9943 -0.8337 -1.5764
```

---

Compound: PrGa6Cu2
Source: the Alexandria database
Functional: PBE-GGA
Structure: optimized geometry

calculated total energy	-60.9	eV per cell
E_form	0.7	eV per formula unit
space group	Fd-3m

Geometry as extended XYZ:
```
18
Lattice="-6.6914 -0.5574 4.8383 -0.0499 -5.2402 6.4057 0.2344 2.9229 7.7393" Properties=species:S:1:pos:R:3 pbc="T T T"
Ga -1.4536 -1.8980 11.9278
Ga 0.0113 -1.1379 6.9630
Ga -1.4275 0.8454 8.5742
Ga 0.0351 1.3588 3.9109
Ga -3.2886 -2.7961 5.5808
Ga -0.1004 -2.5306 3.2755
Ga -3.2648 -0.2994 2.5287
Ga -5.0534 -0.9766 7.0554
Ga -5.0795 -3.7200 10.4091
Ga -1.5763 -3.4282 7.8760
Ga -3.1531 1.0933 6.2162
Ga -4.9307 0.5536 11.1072
Pr -3.2535 -1.4373 9.4916
Pr -4.8802 -2.1560 14.2375
Cu -0.8134 -0.3593 2.3729
Cu -4.1591 -0.6380 4.7920
Cu -0.8383 -2.9794 5.5758
Cu -0.6962 1.1021 6.2425
```

---

Compound: KSr2Tc
Source: the Alexandria database
Functional: PBE-GGA
Structure: optimized geometry

energy relative to the lowest polymorph listed for this composition	398	meV per atom
calculated total energy	-21.5	eV per cell
E_form	4.1	eV per formula unit
space group	I-42d

Geometry as extended XYZ:
```
8
Lattice="-2.7689 6.6603 -4.4307 -7.2193 -0.0612 4.4197 -2.5510 7.0041 4.0365" Properties=species:S:1:pos:R:3 pbc="T T T"
Sr -3.8620 7.7430 1.9232
Sr -5.2304 11.0732 -0.3019
Sr -3.9599 7.5637 -2.3103
Sr -7.5757 7.5479 -0.1103
K -7.3822 5.1212 4.2254
K -4.9941 3.2995 -0.0055
Tc 0.0000 0.0000 0.0000
Tc -5.1570 8.4820 -0.1998
```